VASP calculation (PBE) on crystalline CaMn3Ru at its relaxed geometry.

Cell: 4.821 4.821 4.821 Å, 90.00 90.00 90.00°
Site moments in Bohr magnetons follow the coordinates.
Element x y z (fractional)
Ru1 0.000 0.000 0.000  0.22
Mn1 0.000 0.500 0.000  3.84
Mn2 0.000 0.000 0.500  3.80
Mn3 0.500 0.000 0.000  3.87
Ca1 0.500 0.500 0.500  -0.03

=====

VASP calculation (PBE) on crystalline Sc2Ge4W3 at its relaxed geometry.

Cell: 6.752 6.848 6.931 Å, 90.00 90.00 109.30°
Element x y z (fractional)
Sc1 0.053 0.188 0.172
Sc2 0.447 0.812 0.672
Sc3 0.553 0.188 0.328
Sc4 0.947 0.812 0.828
Ge1 0.652 0.913 0.041
Ge2 0.867 0.495 0.138
Ge3 0.348 0.087 0.959
Ge4 0.152 0.913 0.459
Ge5 0.133 0.505 0.862
Ge6 0.367 0.495 0.362
Ge7 0.848 0.087 0.541
Ge8 0.633 0.505 0.638
W1 0.256 0.753 0.159
W2 0.744 0.247 0.841
W3 0.000 0.500 0.500
W4 0.756 0.753 0.341
W5 0.500 0.500 0.000
W6 0.244 0.247 0.659

=====

Going through the records in order, we get V values of 22.40 16.80 Å³/atom.
Going through the records in order, we get formation energy values of 0.700 -0.339 eV/atom.